No. 1
CeErTmGa | Alexandria via LeMat-Bulk | PBE-GGA | optimized geometry; SG = F-43m (216)
1.0
5.263 0.000 0.000
2.631 4.558 0.000
2.631 1.519 4.297
Tm Ga Ce Er
1 1 1 1
Cartesian
7.894 4.558 3.223
2.631 1.519 1.074
5.263 3.038 2.148
0.000 0.000 0.000

---

No. 2
U2TcRu | Alexandria via LeMat-Bulk | PBE-GGA | optimized geometry; SG = P4/mmm (123)
1.0
-1.360 -3.088 -0.558
0.738 0.276 -3.328
5.828 -2.760 1.063
Ru U Tc
1 2 1
Cartesian
2.603 -2.786 -1.411
4.343 -2.056 0.792
1.485 -0.703 0.271
-0.311 -1.406 -1.943

---

Number 1: D(E_F) 2.020 states/eV/atom, energy of formation from the pure elements -0.087 eV per atom, total moment 0.44 μB/cell. Number 2: D(E_F) 1.543 states/eV/atom, energy of formation from the pure elements -0.041 eV per atom, total moment 3.33 μB/cell.